The following is a DFT calculation (SCAN) of Ta2NbRe at its PBEsol-relaxed geometry.

abc: 6.4235 6.4235 6.4235
angles: 90.00 90.00 90.00
Space group Fm-3m (No. 225)
Symmetry-distinct sites (fractional):
1 Ta 0.2500 0.2500 0.2500 [8 per cell]
2 Nb 0.0000 0.0000 0.0000 [4 per cell]
3 Re 0.0000 0.0000 0.5000 [4 per cell]

Output
Total DFT energy (no corrections) in eV per atom: -59.651